# Te2RuIN (GGA-PBEsol, optimized geometry)
data_Te2RuIN
_cell_length_a 5.017
_cell_length_b 5.017
_cell_length_c 5.721
_cell_angle_alpha 90.00
_cell_angle_beta 90.00
_cell_angle_gamma 90.00
_symmetry_space_group_name_H-M 'P 4/m m m'
_symmetry_Int_Tables_number 123
_symmetry_space_group_name_Hall '-P 4 2'
loop_
_atom_site_label
_atom_site_type_symbol
_atom_site_fract_x
_atom_site_fract_y
_atom_site_fract_z
Te1 Te 0.000 0.500 0.000
Ru1 Ru 0.000 0.000 0.000
I1 I 0.000 0.000 0.500
N1 N 0.500 0.500 0.500
# **Crystal system**: tetragonal
# **Energy relative to the elements, uncorrected**: 1.396 eV/atom
# **Size of the total moment**: 2.93 μB/f.u.
# **Energy above the lowest structure with this stoichiometry**: 1.070 eV per atom